# LaHo (PBE-GGA, optimized geometry)
data_LaHo
_symmetry_space_group_name_H-M 'P 1'
_symmetry_Int_Tables_number 1
_cell_length_a 7.253
_cell_length_b 7.253
_cell_length_c 7.253
_cell_angle_alpha 60.00
_cell_angle_beta 60.00
_cell_angle_gamma 60.00
loop_
_symmetry_equiv_pos_as_xyz
'x,y,z'
loop_
_atom_site_label
_atom_site_type_symbol
_atom_site_fract_x
_atom_site_fract_y
_atom_site_fract_z
_atom_site_occupancy
La1 La 0.000 0.000 0.000 1
La2 La 0.000 0.000 0.500 1
La3 La 0.000 0.500 0.000 1
La4 La 0.500 0.000 0.000 1
Ho1 Ho 0.000 0.500 0.500 1
Ho2 Ho 0.500 0.000 0.500 1
Ho3 Ho 0.500 0.500 0.000 1
Ho4 Ho 0.500 0.500 0.500 1
# SG: No. 227
# N(E_F) in states/eV per cell: 12.0

---

# La3Ho8 (PBE-GGA, optimized geometry)
data_La3Ho8
_symmetry_space_group_name_H-M 'P 1'
_symmetry_Int_Tables_number 1
_cell_length_a 6.206
_cell_length_b 6.206
_cell_length_c 12.994
_cell_angle_alpha 104.01
_cell_angle_beta 104.01
_cell_angle_gamma 48.27
loop_
_symmetry_equiv_pos_as_xyz
'x,y,z'
loop_
_atom_site_label
_atom_site_type_symbol
_atom_site_fract_x
_atom_site_fract_y
_atom_site_fract_z
_atom_site_occupancy
La1 La 0.000 0.000 0.000 1
La2 La 0.092 0.092 0.638 1
La3 La 0.908 0.908 0.362 1
Ho1 Ho 0.181 0.181 0.273 1
Ho2 Ho 0.273 0.273 0.909 1
Ho3 Ho 0.363 0.363 0.545 1
Ho4 Ho 0.454 0.454 0.181 1
Ho5 Ho 0.546 0.546 0.819 1
Ho6 Ho 0.637 0.637 0.455 1
Ho7 Ho 0.727 0.727 0.091 1
Ho8 Ho 0.819 0.819 0.727 1
# SG: No. 12
# N(E_F) in states/eV per cell: 18.1

---

# La5Ho2 (PBE-GGA, optimized geometry)
data_La5Ho2
_symmetry_space_group_name_H-M 'P 1'
_symmetry_Int_Tables_number 1
_cell_length_a 5.795
_cell_length_b 5.795
_cell_length_c 9.196
_cell_angle_alpha 109.96
_cell_angle_beta 109.96
_cell_angle_gamma 61.41
loop_
_symmetry_equiv_pos_as_xyz
'x,y,z'
loop_
_atom_site_label
_atom_site_type_symbol
_atom_site_fract_x
_atom_site_fract_y
_atom_site_fract_z
_atom_site_occupancy
La1 La 0.000 0.000 0.000 1
La2 La 0.161 0.161 0.471 1
La3 La 0.426 0.426 0.287 1
La4 La 0.574 0.574 0.713 1
La5 La 0.839 0.839 0.529 1
Ho1 Ho 0.298 0.298 0.885 1
Ho2 Ho 0.702 0.702 0.115 1
# SG: No. 12
# N(E_F) in states/eV per cell: 12.5

---

# La13Ho2 (PBE-GGA, optimized geometry)
data_La13Ho2
_symmetry_space_group_name_H-M 'P 1'
_symmetry_Int_Tables_number 1
_cell_length_a 12.606
_cell_length_b 12.606
_cell_length_c 12.606
_cell_angle_alpha 33.71
_cell_angle_beta 33.71
_cell_angle_gamma 33.71
loop_
_symmetry_equiv_pos_as_xyz
'x,y,z'
loop_
_atom_site_label
_atom_site_type_symbol
_atom_site_fract_x
_atom_site_fract_y
_atom_site_fract_z
_atom_site_occupancy
La1 La 0.000 0.000 0.000 1
La2 La 0.044 0.546 0.546 1
La3 La 0.201 0.715 0.715 1
La4 La 0.285 0.285 0.799 1
La5 La 0.285 0.799 0.285 1
La6 La 0.454 0.454 0.956 1
La7 La 0.454 0.956 0.454 1
La8 La 0.546 0.044 0.546 1
La9 La 0.546 0.546 0.044 1
La10 La 0.715 0.201 0.715 1
La11 La 0.715 0.715 0.201 1
La12 La 0.799 0.285 0.285 1
La13 La 0.956 0.454 0.454 1
Ho1 Ho 0.206 0.206 0.206 1
Ho2 Ho 0.794 0.794 0.794 1
# SG: No. 166
# N(E_F) in states/eV per cell: 23.5

---

# LaHo2 (PBE-GGA, optimized geometry)
data_LaHo2
_symmetry_space_group_name_H-M 'P 1'
_symmetry_Int_Tables_number 1
_cell_length_a 3.644
_cell_length_b 5.780
_cell_length_c 9.619
_cell_angle_alpha 90.00
_cell_angle_beta 100.90
_cell_angle_gamma 90.00
loop_
_symmetry_equiv_pos_as_xyz
'x,y,z'
loop_
_atom_site_label
_atom_site_type_symbol
_atom_site_fract_x
_atom_site_fract_y
_atom_site_fract_z
_atom_site_occupancy
La1 La 0.225 0.250 0.448 1
La2 La 0.775 0.750 0.552 1
Ho1 Ho 0.106 0.750 0.213 1
Ho2 Ho 0.447 0.750 0.894 1
Ho3 Ho 0.553 0.250 0.106 1
Ho4 Ho 0.894 0.250 0.787 1
# SG: No. 11
# N(E_F) in states/eV per cell: 9.9

---

# La3Ho8 (PBE-GGA, optimized geometry)
data_La3Ho8
_symmetry_space_group_name_H-M 'P 1'
_symmetry_Int_Tables_number 1
_cell_length_a 7.112
_cell_length_b 7.112
_cell_length_c 7.112
_cell_angle_alpha 88.11
_cell_angle_beta 88.11
_cell_angle_gamma 88.11
loop_
_symmetry_equiv_pos_as_xyz
'x,y,z'
loop_
_atom_site_label
_atom_site_type_symbol
_atom_site_fract_x
_atom_site_fract_y
_atom_site_fract_z
_atom_site_occupancy
La1 La 0.000 0.500 0.500 1
La2 La 0.500 0.000 0.500 1
La3 La 0.500 0.500 0.000 1
Ho1 Ho 0.103 0.867 0.697 1
Ho2 Ho 0.133 0.303 0.897 1
Ho3 Ho 0.303 0.897 0.133 1
Ho4 Ho 0.373 0.373 0.373 1
Ho5 Ho 0.627 0.627 0.627 1
Ho6 Ho 0.697 0.103 0.867 1
Ho7 Ho 0.867 0.697 0.103 1
Ho8 Ho 0.897 0.133 0.303 1
# SG: No. 148
# N(E_F) in states/eV per cell: 21.5

---

# La6Ho (PBE-GGA, optimized geometry)
data_La6Ho
_symmetry_space_group_name_H-M 'P 1'
_symmetry_Int_Tables_number 1
_cell_length_a 7.088
_cell_length_b 7.088
_cell_length_c 7.088
_cell_angle_alpha 109.47
_cell_angle_beta 109.47
_cell_angle_gamma 109.47
loop_
_symmetry_equiv_pos_as_xyz
'x,y,z'
loop_
_atom_site_label
_atom_site_type_symbol
_atom_site_fract_x
_atom_site_fract_y
_atom_site_fract_z
_atom_site_occupancy
La1 La 0.250 0.500 0.750 1
La2 La 0.250 0.750 0.500 1
La3 La 0.500 0.250 0.750 1
La4 La 0.500 0.750 0.250 1
La5 La 0.750 0.250 0.500 1
La6 La 0.750 0.500 0.250 1
Ho1 Ho 0.000 0.000 0.000 1
# SG: No. 229
# N(E_F) in states/eV per cell: 7.2

---

# LaHo4 (PBE-GGA, optimized geometry)
data_LaHo4
_symmetry_space_group_name_H-M 'P 1'
_symmetry_Int_Tables_number 1
_cell_length_a 5.610
_cell_length_b 5.610
_cell_length_c 5.610
_cell_angle_alpha 90.00
_cell_angle_beta 90.00
_cell_angle_gamma 90.00
loop_
_symmetry_equiv_pos_as_xyz
'x,y,z'
loop_
_atom_site_label
_atom_site_type_symbol
_atom_site_fract_x
_atom_site_fract_y
_atom_site_fract_z
_atom_site_occupancy
La1 La 0.000 0.000 0.000 1
Ho1 Ho 0.000 0.000 0.500 1
Ho2 Ho 0.000 0.500 0.000 1
Ho3 Ho 0.500 0.000 0.000 1
Ho4 Ho 0.500 0.500 0.500 1
# SG: No. 221
# N(E_F) in states/eV per cell: 7.7

---

# La5Ho2 (PBE-GGA, optimized geometry)
data_La5Ho2
_symmetry_space_group_name_H-M 'P 1'
_symmetry_Int_Tables_number 1
_cell_length_a 9.012
_cell_length_b 9.012
_cell_length_c 9.012
_cell_angle_alpha 37.90
_cell_angle_beta 37.90
_cell_angle_gamma 37.90
loop_
_symmetry_equiv_pos_as_xyz
'x,y,z'
loop_
_atom_site_label
_atom_site_type_symbol
_atom_site_fract_x
_atom_site_fract_y
_atom_site_fract_z
_atom_site_occupancy
La1 La 0.000 0.000 0.000 1
La2 La 0.296 0.296 0.296 1
La3 La 0.433 0.433 0.433 1
La4 La 0.567 0.567 0.567 1
La5 La 0.704 0.704 0.704 1
Ho1 Ho 0.156 0.156 0.156 1
Ho2 Ho 0.844 0.844 0.844 1
# SG: No. 166
# N(E_F) in states/eV per cell: 14.9

---

# La7Ho3 (PBE-GGA, optimized geometry)
data_La7Ho3
_symmetry_space_group_name_H-M 'P 1'
_symmetry_Int_Tables_number 1
_cell_length_a 8.939
_cell_length_b 8.939
_cell_length_c 7.248
_cell_angle_alpha 100.51
_cell_angle_beta 100.51
_cell_angle_gamma 38.76
loop_
_symmetry_equiv_pos_as_xyz
'x,y,z'
loop_
_atom_site_label
_atom_site_type_symbol
_atom_site_fract_x
_atom_site_fract_y
_atom_site_fract_z
_atom_site_occupancy
La1 La 0.000 0.000 0.000 1
La2 La 0.191 0.191 0.731 1
La3 La 0.382 0.382 0.075 1
La4 La 0.397 0.397 0.590 1
La5 La 0.603 0.603 0.410 1
La6 La 0.618 0.618 0.925 1
La7 La 0.809 0.809 0.269 1
Ho1 Ho 0.000 0.000 0.500 1
Ho2 Ho 0.196 0.196 0.249 1
Ho3 Ho 0.804 0.804 0.751 1
# SG: No. 12
# N(E_F) in states/eV per cell: 15.3

---

# LaHo5 (PBE-GGA, optimized geometry)
data_LaHo5
_symmetry_space_group_name_H-M 'P 1'
_symmetry_Int_Tables_number 1
_cell_length_a 5.655
_cell_length_b 5.655
_cell_length_c 6.912
_cell_angle_alpha 90.00
_cell_angle_beta 90.00
_cell_angle_gamma 120.00
loop_
_symmetry_equiv_pos_as_xyz
'x,y,z'
loop_
_atom_site_label
_atom_site_type_symbol
_atom_site_fract_x
_atom_site_fract_y
_atom_site_fract_z
_atom_site_occupancy
La1 La 0.000 0.000 0.000 1
Ho1 Ho 0.000 0.000 0.500 1
Ho2 Ho 0.333 0.667 0.256 1
Ho3 Ho 0.333 0.667 0.744 1
Ho4 Ho 0.667 0.333 0.256 1
Ho5 Ho 0.667 0.333 0.744 1
# SG: No. 191
# N(E_F) in states/eV per cell: 8.6

---

# La3Ho5 (PBE-GGA, optimized geometry)
data_La3Ho5
_symmetry_space_group_name_H-M 'P 1'
_symmetry_Int_Tables_number 1
_cell_length_a 7.182
_cell_length_b 7.182
_cell_length_c 5.158
_cell_angle_alpha 90.00
_cell_angle_beta 90.00
_cell_angle_gamma 91.64
loop_
_symmetry_equiv_pos_as_xyz
'x,y,z'
loop_
_atom_site_label
_atom_site_type_symbol
_atom_site_fract_x
_atom_site_fract_y
_atom_site_fract_z
_atom_site_occupancy
La1 La 0.000 0.000 0.000 1
La2 La 0.254 0.746 0.500 1
La3 La 0.746 0.254 0.500 1
Ho1 Ho 0.000 0.500 0.000 1
Ho2 Ho 0.250 0.250 0.500 1
Ho3 Ho 0.500 0.000 0.000 1
Ho4 Ho 0.500 0.500 0.000 1
Ho5 Ho 0.750 0.750 0.500 1
# SG: No. 65
# N(E_F) in states/eV per cell: 12.8

---

Number 1: energy relative to the elements 0.0173 eV per atom. Number 2: energy relative to the elements 0.0361 eV per atom. Number 3: energy relative to the elements 0.0905 eV per atom. Number 4: energy relative to the elements 0.1209 eV per atom. Number 5: energy relative to the elements 0.0245 eV per atom. Number 6: energy relative to the elements 0.5428 eV per atom. Number 7: energy relative to the elements 0.9311 eV per atom. Number 8: energy relative to the elements 0.7065 eV per atom. Number 9: energy relative to the elements 0.1236 eV per atom. Number 10: energy relative to the elements 0.0748 eV per atom. Number 11: energy relative to the elements 0.0672 eV per atom. Number 12: energy relative to the elements 0.0290 eV per atom.